No. 1
ZnTcO2F PBE optimized geometry; total magnetization = 0.0 μB/f.u.; volume = 12.81 Å³/atom
1.0
3.833 0.000 0.000
0.000 3.833 0.000
0.000 0.000 4.360
Zn Tc O F
1 1 2 1
Cartesian
0.000 0.000 0.000
1.916 1.916 2.180
0.000 1.916 2.180
1.916 0.000 2.180
1.916 1.916 0.000

***

No. 2
ZrTcO2F PBE optimized geometry; total magnetization = 4.3 μB/f.u.; volume = 14.77 Å³/atom
1.0
4.177 0.000 0.000
0.000 4.177 0.000
0.000 0.000 4.233
Zr Tc O F
1 1 2 1
Cartesian
0.000 0.000 0.000
2.088 2.088 2.117
0.000 2.088 0.000
2.088 0.000 0.000
0.000 0.000 2.117

***

No. 3
ZrTcOF2 PBE optimized geometry; total magnetization = 3.6 μB/f.u.; volume = 15.56 Å³/atom
1.0
4.343 0.000 0.000
0.000 4.343 0.000
0.000 0.000 4.124
Zr Tc O F
1 1 1 2
Cartesian
0.000 0.000 0.000
2.171 2.171 2.062
0.000 0.000 2.062
0.000 2.171 0.000
2.171 0.000 0.000

***

No. 4
ZrTcOF2 PBE optimized geometry; total magnetization = 0.8 μB/f.u.; volume = 14.39 Å³/atom
1.0
4.464 0.000 0.000
0.000 4.464 0.000
0.000 0.000 3.612
Zr Tc O F
1 1 1 2
Cartesian
0.000 0.000 0.000
2.232 2.232 0.000
2.232 2.232 1.806
0.000 2.232 1.806
2.232 0.000 1.806

***

No. 5
ZrTcO2F PBE optimized geometry; total magnetization = 0.0 μB/f.u.; volume = 12.70 Å³/atom
1.0
3.969 0.000 0.000
0.000 3.969 0.000
0.000 0.000 4.032
Zr Tc O F
1 1 2 1
Cartesian
0.000 0.000 0.000
1.984 1.984 2.016
0.000 1.984 2.016
1.984 0.000 2.016
1.984 1.984 0.000

***

No. 6
ZrTcOF2 PBE optimized geometry; total magnetization = 1.8 μB/f.u.; volume = 14.49 Å³/atom
1.0
4.390 0.000 0.000
0.000 4.390 0.000
0.000 0.000 3.761
Zr Tc O F
1 1 1 2
Cartesian
0.000 0.000 0.000
2.195 2.195 1.880
2.195 2.195 0.000
0.000 2.195 1.880
2.195 0.000 1.880

***

Number 1: E_tot -5.671 eV per atom. Number 2: E_tot -7.663 eV per atom. Number 3: E_tot -6.959 eV per atom. Number 4: E_tot -6.185 eV per atom. Number 5: E_tot -7.117 eV per atom. Number 6: E_tot -6.374 eV per atom.